Record 1
Compound: Mg2ZnRe
Source: the Alexandria database
Functional: PBE-GGA
Structure: relaxed

abc: 2.9601 4.6882 4.6935
angles: 90.00 90.00 90.00
Element x y z (fractional)
Mg1 0.0000 0.0000 0.0000
Mg2 0.5000 0.5000 0.0000
Zn1 0.0000 0.5000 0.5000
Re1 0.5000 0.0000 0.5000

Computed properties:
Calculated formation energy (kcal/mol of atoms): 7.83
Total DFT energy (no corrections) (eV per atom): -3.89
Spin magnetization (μB per atom): 0.0000

=====

Record 2
Compound: MgZn4Re
Source: the Alexandria database
Functional: PBE-GGA
Structure: relaxed

abc: 5.0060 5.0060 5.0060
angles: 60.00 60.00 60.00
Element x y z (fractional)
Mg1 0.0000 0.0000 0.0000
Zn1 0.3761 0.3761 0.3761
Zn2 0.3761 0.3761 0.8718
Zn3 0.3761 0.8718 0.3761
Zn4 0.8718 0.3761 0.3761
Re1 0.7500 0.7500 0.7500

Computed properties:
Calculated formation energy (kcal/mol of atoms): 4.88
Total DFT energy (no corrections) (eV per atom): -2.98
Spin magnetization (μB per atom): 0.0003

=====

Record 3
Compound: MgZnRe
Source: the Alexandria database
Functional: PBE-GGA
Structure: relaxed

abc: 7.1261 6.9518 2.7191
angles: 82.49 75.28 22.23
Element x y z (fractional)
Mg1 0.0000 0.0000 0.0000
Zn1 0.3288 0.3288 0.6712
Re1 0.6685 0.6685 0.3315

Computed properties:
Calculated formation energy (kcal/mol of atoms): 5.52
Total DFT energy (no corrections) (eV per atom): -4.87
Offset from the most stable computed form (meV/atom): 183
Spin magnetization (μB per atom): 0.0000

=====

Record 4
Compound: MgZnRe2
Source: the Alexandria database
Functional: PBE-GGA
Structure: relaxed

abc: 2.6762 2.6762 8.9933
angles: 90.00 90.00 108.38
Element x y z (fractional)
Mg1 0.0000 0.0000 0.0000
Zn1 0.0000 0.0000 0.5000
Re1 0.5000 0.5000 0.2576
Re2 0.5000 0.5000 0.7424

Computed properties:
Calculated formation energy (kcal/mol of atoms): 6.58
Total DFT energy (no corrections) (eV per atom): -6.66
Offset from the most stable computed form (meV/atom): 234
Spin magnetization (μB per atom): 0.0000

=====

Record 5
Compound: Mg2ZnRe
Source: the Alexandria database
Functional: PBE-GGA
Structure: relaxed

abc: 2.7449 2.7449 8.8664
angles: 90.00 90.00 90.00
Element x y z (fractional)
Mg1 0.0000 0.0000 0.2467
Mg2 0.0000 0.0000 0.7533
Zn1 0.5000 0.5000 0.5000
Re1 0.5000 0.5000 0.0000

Computed properties:
Calculated formation energy (kcal/mol of atoms): 4.96
Total DFT energy (no corrections) (eV per atom): -4.01
Spin magnetization (μB per atom): 0.0000

=====

Record 6
Compound: MgZn2Re
Source: the Alexandria database
Functional: PBE-GGA
Structure: relaxed

abc: 5.3115 5.3115 4.8832
angles: 116.13 116.13 29.80
Element x y z (fractional)
Mg1 0.0000 0.0000 0.0000
Zn1 0.2443 0.2443 0.9140
Zn2 0.4967 0.4967 0.4860
Re1 0.7520 0.7520 0.4285

Computed properties:
Calculated formation energy (kcal/mol of atoms): 3.11
Total DFT energy (no corrections) (eV per atom): -4.01
Spin magnetization (μB per atom): 0.0000

=====

Record 7
Compound: MgZn2Re
Source: the Alexandria database
Functional: PBE-GGA
Structure: relaxed

abc: 2.7113 2.7113 8.8075
angles: 90.00 90.00 105.42
Element x y z (fractional)
Mg1 0.0000 0.0000 0.0000
Zn1 0.0000 0.0000 0.4952
Zn2 0.5000 0.5000 0.7377
Re1 0.5000 0.5000 0.2547

Computed properties:
Calculated formation energy (kcal/mol of atoms): 4.43
Total DFT energy (no corrections) (eV per atom): -3.96
Spin magnetization (μB per atom): 0.0000

=====

Record 8
Compound: MgZn2Re
Source: the Alexandria database
Functional: PBE-GGA
Structure: relaxed

abc: 2.7362 2.7362 8.8945
angles: 90.00 90.00 109.54
Element x y z (fractional)
Mg1 0.0000 0.0000 0.0000
Zn1 0.5000 0.5000 0.2578
Zn2 0.5000 0.5000 0.7422
Re1 0.0000 0.0000 0.5000

Computed properties:
Calculated formation energy (kcal/mol of atoms): 5.30
Total DFT energy (no corrections) (eV per atom): -3.92
Spin magnetization (μB per atom): 0.0000